1.
La2Pm3Ru2 GGA-PBE relaxed; SG = No. 12; crystal system = monoclinic; energy of formation from the pure elements = -0.247 eV per atom
1.0
6.214 -1.975 0.000
6.214 1.975 0.000
-3.771 0.000 8.297
La Pm Ru
2 3 2
Direct
0.171 0.171 0.302
0.829 0.829 0.698
0.380 0.380 0.082
0.500 0.500 0.500
0.620 0.620 0.918
0.187 0.187 0.735
0.813 0.813 0.265


2.
La2PmRu2 GGA-PBE relaxed; SG = No. 12; crystal system = monoclinic; energy of formation from the pure elements = -0.185 eV per atom
1.0
5.867 -2.269 0.000
5.867 2.269 0.000
-4.351 0.000 9.437
La Pm Ru
4 2 4
Direct
0.021 0.021 0.193
0.171 0.171 0.576
0.829 0.829 0.424
0.979 0.979 0.807
0.291 0.291 0.136
0.709 0.709 0.864
0.380 0.380 0.896
0.452 0.452 0.597
0.548 0.548 0.403
0.620 0.620 0.104


3.
LaPm2Ru2 GGA-PBE relaxed; SG = No. 11; crystal system = monoclinic; energy of formation from the pure elements = -0.146 eV per atom
1.0
5.591 0.000 0.000
0.000 4.371 0.000
-1.433 0.000 10.969
La Pm Ru
2 4 4
Direct
0.037 0.250 0.280
0.963 0.750 0.720
0.264 0.750 0.030
0.421 0.250 0.622
0.579 0.750 0.378
0.736 0.250 0.970
0.127 0.750 0.492
0.198 0.250 0.857
0.802 0.750 0.143
0.873 0.250 0.508


4.
La4PmRu GGA-PBE relaxed; SG = No. 71; crystal system = orthorhombic; energy of formation from the pure elements = -0.085 eV per atom
1.0
-3.076 3.834 8.396
3.076 -3.834 8.396
3.076 3.834 -8.396
La Pm Ru
8 2 2
Direct
0.133 0.387 0.745
0.172 0.172 0.000
0.293 0.000 0.293
0.358 0.613 0.745
0.642 0.387 0.255
0.707 0.000 0.707
0.828 0.828 0.000
0.867 0.613 0.255
0.301 0.801 0.500
0.699 0.199 0.500
0.000 0.254 0.254
0.000 0.746 0.746


The highest energy of formation from the pure elements belongs to which entry?
La4PmRu